# 1
Below is a relaxed structure of Ba3Ac3MgS8, with properties calculated at the PBE level.

Summary:
As for the symmetry: R-3m. The calculation puts the formation energy (no corrections) at -1.945 eV per atom. The calculation puts the total energy at -0.4012 Ry/atom. The calculation puts the total magnetization at 0.00 μB per cell.

Lattice parameters (Å, degrees): 8.6209 8.6194 8.8674 119.09 89.99 120.01
With the nearest neighbours (Å) after each atom.
Fractional positions:
S 0.2250 0.4501 0.7109  1 Mg 2.78, 2 Ac 3.01
S 0.7447 0.4894 0.7341  3 Ac 3.02, 3 Ba 3.16
Ba 0.0000 0.0000 0.0000  6 S 3.16-3.21
S 0.7605 0.9858 0.7112  1 Mg 2.78, 2 Ac 3.01
S 0.2253 0.9858 0.7112  1 Mg 2.78, 2 Ac 3.01
S 0.7747 0.0142 0.2888  1 Mg 2.78, 2 Ac 3.01
Ba 0.0000 0.5000 0.0000  6 S 3.16-3.21
Ac 0.5000 0.5000 0.5000  6 S 3.01-3.02
Ba 0.5000 0.5000 0.0000  6 S 3.16-3.21
Mg 0.0000 0.0000 0.5000  6 S 2.78
Ac 0.5000 0.0000 0.5000  6 S 3.01-3.02
S 0.2395 0.0142 0.2888  1 Mg 2.78, 2 Ac 3.01
S 0.7750 0.5499 0.2891  1 Mg 2.78, 2 Ac 3.01
S 0.2553 0.5106 0.2659  3 Ac 3.02, 3 Ba 3.16
Ac 0.0000 0.5000 0.5000  6 S 3.01-3.02

***

# 2
Below is a relaxed structure of BaAc2Mg2Sn2, with properties calculated at the PBE level.

Summary:
As for the symmetry: R-3m. The calculation puts the energy relative to the elements at -2.27 eV/f.u. The calculation puts the total energy at -0.2479 Ry/atom. The calculation puts the total magnetization at 0.00 μB per cell.

Lattice parameters (Å, degrees): 5.1834 5.1834 10.8416 76.17 76.17 60.00
With the nearest neighbours (Å) after each atom.
Fractional positions:
Sn 0.2581 0.2581 0.2257  3 Mg 2.99
Ba 0.0000 0.0000 0.0000  6 Sn 3.81, 6 Mg 3.85, 2 Ac 4.11
Ac 0.8684 0.8684 0.3947  3 Mg 3.44, 3 Sn 3.47, 3 Ac 3.71
Ac 0.1316 0.1316 0.6053  3 Mg 3.44, 3 Sn 3.47, 3 Ac 3.71
Sn 0.7419 0.7419 0.7743  3 Mg 2.99
Mg 0.4109 0.4109 0.7673  3 Sn 2.99
Mg 0.5891 0.5891 0.2327  3 Sn 2.99

***

# 3
Below is a relaxed structure of BaSrAcMg, with properties calculated at the PBE level.

Summary:
As for the symmetry: F-43m. The calculation puts the energy relative to the elements at 0.62 eV/f.u. The calculation puts the total energy at -0.1595 Ry/atom. The calculation puts the total magnetization at 0.00 μB per cell.

Lattice parameters (Å, degrees): 6.3164 6.3164 6.3164 60.00 60.00 60.00
With the nearest neighbours (Å) after each atom.
Fractional positions:
Mg 0.0000 0.0000 0.0000  4 Ba 3.87, 4 Sr 3.87
Sr 0.7500 0.7500 0.7500  4 Ac 3.87, 4 Mg 3.87
Ba 0.2500 0.2500 0.2500  4 Ac 3.87, 4 Mg 3.87
Ac 0.5000 0.5000 0.5000  4 Ba 3.87, 4 Sr 3.87